(1)
First-principles (PBE) data for crystalline BaHf3Mg at its relaxed geometry, as listed in the Alexandria database.

Results
Raw total energy in hartree per atom: -0.1748
Excess energy over the best structure of this formula in the dataset in kJ/mol of atoms: 70.0

Cell: 5.305 5.305 5.305 Å, 90.00 90.00 90.00°
Element x y z (fractional)
Mg 0.500 0.500 0.500
Hf 0.000 0.500 0.000
Hf 0.000 0.000 0.500
Hf 0.500 0.000 0.000
Ba 0.000 0.000 0.000

---

(2)
First-principles (PBE) data for crystalline AcLa6Pr2Dy at its relaxed geometry, as listed in the Alexandria database.

Results
Raw total energy in hartree per atom: -0.1721

Cell: 10.117 9.171 9.171 Å, 117.79 93.91 93.91°
Element x y z (fractional)
Ac 0.250 0.981 0.019
Ac 0.750 0.019 0.981
La 0.050 0.118 0.746
La 0.450 0.254 0.882
La 0.950 0.882 0.254
La 0.550 0.746 0.118
La 0.310 0.991 0.441
La 0.190 0.559 0.009
La 0.690 0.009 0.559
La 0.810 0.441 0.991
La 0.119 0.703 0.497
La 0.381 0.503 0.297
La 0.881 0.297 0.503
La 0.619 0.497 0.703
Pr 0.456 0.802 0.696
Pr 0.044 0.304 0.198
Pr 0.544 0.198 0.304
Pr 0.956 0.696 0.802
Dy 0.250 0.409 0.591
Dy 0.750 0.591 0.409

---

(3)
First-principles (PBE) data for crystalline NaPr2Tc2N6 at its relaxed geometry, as listed in the Alexandria database.

Results
Energy relative to the elements, uncorrected in eV/atom: -0.436
Raw total energy in hartree per atom: -0.2885

Cell: 6.599 6.119 6.501 Å, 112.63 81.27 64.96°
Element x y z (fractional)
Na 0.500 0.000 0.500
Pr 0.829 0.381 0.769
Pr 0.171 0.619 0.231
Tc 0.189 0.784 0.818
Tc 0.811 0.216 0.182
N 0.398 0.758 0.964
N 0.872 0.489 0.244
N 0.198 0.891 0.589
N 0.128 0.511 0.756
N 0.802 0.109 0.411
N 0.602 0.242 0.036

---

(4)
First-principles (PBE) data for crystalline CaTl2Ag at its relaxed geometry, as listed in the Alexandria database.

Results
Raw total energy in hartree per atom: -0.0895

Cell: 9.630 9.630 9.630 Å, 22.66 22.66 22.66°
Element x y z (fractional)
Tl 0.999 0.999 0.999
Tl 0.243 0.243 0.243
Ca 0.757 0.757 0.757
Ag 0.501 0.501 0.501

---

(5)
First-principles (PBE) data for crystalline NaBeSe2 at its relaxed geometry, as listed in the Alexandria database.

Results
Energy relative to the elements, uncorrected in eV/atom: -0.612
Raw total energy in hartree per atom: -0.1329

Cell: 6.795 6.795 6.058 Å, 55.89 55.89 90.00°
Element x y z (fractional)
Na 0.000 0.000 0.000
Na 0.750 0.250 0.500
Se 0.537 0.125 0.250
Se 0.213 0.625 0.250
Se 0.375 0.463 0.750
Se 0.875 0.787 0.750
Be 0.500 0.500 0.000
Be 0.250 0.750 0.500

---

(6)
First-principles (PBE) data for crystalline CuBi3Cl at its relaxed geometry, as listed in the Alexandria database.

Results
Energy relative to the elements, uncorrected in eV/atom: 0.290
Raw total energy in hartree per atom: -0.1186
Excess energy over the best structure of this formula in the dataset in kJ/mol of atoms: 0.0

Cell: 5.300 5.300 5.300 Å, 90.00 90.00 90.00°
Element x y z (fractional)
Bi 0.000 0.500 0.000
Bi 0.000 0.000 0.500
Bi 0.500 0.000 0.000
Cu 0.000 0.000 0.000
Cl 0.500 0.500 0.500

---

(7)
First-principles (PBE) data for crystalline Nd8Ni3PI4 at its relaxed geometry, as listed in the Alexandria database.

Results
Energy relative to the elements, uncorrected in eV/atom: -0.799
Raw total energy in hartree per atom: -0.1835

Cell: 8.364 9.287 8.368 Å, 116.80 119.98 90.00°
Element x y z (fractional)
Nd 0.233 0.688 0.955
Nd 0.233 0.688 0.466
Nd 0.273 0.318 0.545
Nd 0.722 0.688 0.955
Nd 0.278 0.312 0.045
Nd 0.727 0.682 0.455
Nd 0.767 0.312 0.534
Nd 0.767 0.312 0.045
Ni 0.500 0.500 0.000
Ni 0.500 0.500 0.500
Ni 0.000 0.500 0.500
P 0.000 0.500 0.000
I 0.500 0.000 0.000
I 0.500 0.000 0.500
I 0.000 0.000 0.000
I 0.000 0.000 0.500

---

(8)
First-principles (PBE) data for crystalline Nd2SmTm3 at its relaxed geometry, as listed in the Alexandria database.

Results
Raw total energy in hartree per atom: -0.1649
Excess energy over the best structure of this formula in the dataset in kJ/mol of atoms: 0.5

Cell: 3.493 10.246 11.795 Å, 108.35 98.52 90.00°
Element x y z (fractional)
Nd 0.690 0.373 0.380
Nd 0.310 0.627 0.620
Nd 0.068 0.135 0.136
Nd 0.932 0.865 0.864
Sm 0.688 0.036 0.377
Sm 0.312 0.964 0.623
Tm 0.694 0.714 0.388
Tm 0.930 0.241 0.860
Tm 0.558 0.445 0.116
Tm 0.306 0.286 0.612
Tm 0.442 0.555 0.884
Tm 0.070 0.759 0.140